Entry 1:
DFT (PBE-GGA) results for a relaxed structure of Pm6Nd2Ho3In.

## Properties
- Energy of formation: -1.205 kcal/mol of atoms
- D(E_F): 1.1436 states/eV/atom
- SG: C2/m, No. 12
- Total moment: 0.00 μB/f.u.

CIF file:
```
data_Pm6Nd2Ho3In
_chemical_formula_sum 'Pm6 Nd2 Ho3 In1'
_cell_length_a 6.1979
_cell_length_b 6.1979
_cell_length_c 11.8753
_cell_angle_alpha 95.00
_cell_angle_beta 95.00
_cell_angle_gamma 120.09
_space_group_name_H-M_alt 'P 1'
_space_group_IT_number 1
loop_
_space_group_symop_operation_xyz
'x,y,z'
loop_
_atom_site_label
_atom_site_fract_x
_atom_site_fract_y
_atom_site_fract_z
Pm1 0.4094 0.0836 0.2512
Pm2 0.7580 0.7580 0.2520
Pm3 0.9164 0.5906 0.7488
Pm4 0.5906 0.9164 0.7488
Pm5 0.2420 0.2420 0.7480
Pm6 0.0836 0.4094 0.2512
Nd1 0.6664 0.3336 0.0000
Nd2 0.3336 0.6664 0.0000
Ho1 0.8328 0.1672 0.5000
Ho2 0.1672 0.8328 0.5000
Ho3 0.5000 0.5000 0.5000
In1 0.0000 0.0000 0.0000
```


Entry 2:
DFT (PBE-GGA) results for a relaxed structure of Li2UPtO6.

## Properties
- Formation energy from raw total energies: -2.0218 eV per atom
- SG: R3, No. 146
- Total moment: 0.00 μB/f.u.

CIF file:
```
data_Li2UPtO6
_chemical_formula_sum 'Li2 U1 Pt1 O6'
_cell_length_a 5.2982
_cell_length_b 5.2985
_cell_length_c 5.6512
_cell_angle_alpha 62.05
_cell_angle_beta 62.05
_cell_angle_gamma 60.00
_space_group_name_H-M_alt 'P 1'
_space_group_IT_number 1
loop_
_space_group_symop_operation_xyz
'x,y,z'
loop_
_atom_site_label
_atom_site_fract_x
_atom_site_fract_y
_atom_site_fract_z
O1 0.2040 0.9437 0.2728
O2 0.4334 0.6971 0.7798
O3 0.9436 0.5795 0.2727
O4 0.5794 0.2041 0.2728
O5 0.0897 0.4333 0.7798
O6 0.6972 0.0896 0.7799
Li1 0.5388 0.5389 0.3834
Li2 0.0341 0.0340 0.8982
Pt1 0.3214 0.3214 0.0357
U1 0.8199 0.8199 0.5402
```


Entry 3:
DFT (PBE-GGA) results for a relaxed structure of Li2Pm5Pb4.

## Properties
- Energy of formation: -6.960 kcal/mol of atoms
- D(E_F): 0.6376 states/eV/atom
- SG: C2/m, No. 12
- Total moment: 0.83 μB/f.u.

CIF file:
```
data_Li2Pm5Pb4
_chemical_formula_sum 'Li2 Pm5 Pb4'
_cell_length_a 5.1831
_cell_length_b 7.5766
_cell_length_c 12.0107
_cell_angle_alpha 130.32
_cell_angle_beta 102.46
_cell_angle_gamma 90.00
_space_group_name_H-M_alt 'P 1'
_space_group_IT_number 1
loop_
_space_group_symop_operation_xyz
'x,y,z'
loop_
_atom_site_label
_atom_site_fract_x
_atom_site_fract_y
_atom_site_fract_z
Pb1 0.3045 0.3687 0.6091
Pb2 0.9922 0.2520 0.9843
Pb3 0.0078 0.7480 0.0157
Pb4 0.6955 0.6313 0.3909
Pm1 0.1610 0.8152 0.3220
Pm2 0.1565 0.3213 0.3130
Pm3 0.5000 0.0000 0.0000
Pm4 0.8435 0.6787 0.6870
Pm5 0.8390 0.1848 0.6780
Li1 0.4441 0.4848 0.8882
Li2 0.5559 0.5152 0.1118
```


Entry 4:
DFT (PBE-GGA) results for a relaxed structure of HgOs2.

## Properties
- Offset from the most stable computed form: 0.499 eV/atom
- Energy of formation: 20.621 kcal/mol of atoms
- D(E_F): 1.2299 states/eV/atom
- SG: P-62m, No. 189
- Total moment: 0.00 μB/f.u.

CIF file:
```
data_HgOs2
_chemical_formula_sum 'Hg2 Os4'
_cell_length_a 5.0269
_cell_length_b 5.0269
_cell_length_c 4.4876
_cell_angle_alpha 90.00
_cell_angle_beta 90.00
_cell_angle_gamma 120.00
_space_group_name_H-M_alt 'P 1'
_space_group_IT_number 1
loop_
_space_group_symop_operation_xyz
'x,y,z'
loop_
_atom_site_label
_atom_site_fract_x
_atom_site_fract_y
_atom_site_fract_z
Hg1 0.3333 0.6667 0.0000
Hg2 0.6667 0.3333 0.0000
Os1 0.0000 0.0000 0.0000
Os2 0.3022 0.0000 0.5000
Os3 0.6978 0.6978 0.5000
Os4 0.0000 0.3022 0.5000
```


Entry 5:
DFT (PBE-GGA) results for a relaxed structure of Pr4CuAg.

## Properties
- Offset from the most stable computed form: 0.147 eV/atom
- Energy of formation: 1.197 kcal/mol of atoms
- D(E_F): 1.3937 states/eV/atom
- SG: P2_1/c, No. 14
- Total moment: 0.00 μB/f.u.

CIF file:
```
data_Pr4CuAg
_chemical_formula_sum 'Pr8 Cu2 Ag2'
_cell_length_a 7.0704
_cell_length_b 7.6771
_cell_length_c 7.1435
_cell_angle_alpha 90.00
_cell_angle_beta 95.15
_cell_angle_gamma 90.00
_space_group_name_H-M_alt 'P 1'
_space_group_IT_number 1
loop_
_space_group_symop_operation_xyz
'x,y,z'
loop_
_atom_site_label
_atom_site_fract_x
_atom_site_fract_y
_atom_site_fract_z
Cu1 0.0000 0.5000 0.5000
Cu2 0.5000 0.0000 0.5000
Pr1 0.6114 0.1544 0.8402
Pr2 0.3255 0.3343 0.3458
Pr3 0.1114 0.3456 0.8402
Pr4 0.1745 0.8343 0.6542
Pr5 0.6745 0.6657 0.6542
Pr6 0.3886 0.8456 0.1598
Pr7 0.8886 0.6544 0.1598
Pr8 0.8255 0.1657 0.3458
Ag1 0.0000 0.0000 0.0000
Ag2 0.5000 0.5000 0.0000
```


Entry 6:
DFT (PBE-GGA) results for a relaxed structure of AlCoSe3.

## Properties
- Offset from the most stable computed form: 0.233 eV/atom
- Formation energy from raw total energies: 0.5520 eV per atom
- D(E_F): 2.6544 states/eV/atom
- SG: Pm-3m, No. 221
- Total moment: 2.89 μB/f.u.

CIF file:
```
data_AlCoSe3
_chemical_formula_sum 'Al1 Co1 Se3'
_cell_length_a 4.8542
_cell_length_b 4.8542
_cell_length_c 4.8542
_cell_angle_alpha 90.00
_cell_angle_beta 90.00
_cell_angle_gamma 90.00
_space_group_name_H-M_alt 'P 1'
_space_group_IT_number 1
loop_
_space_group_symop_operation_xyz
'x,y,z'
loop_
_atom_site_label
_atom_site_fract_x
_atom_site_fract_y
_atom_site_fract_z
Co1 0.5000 0.5000 0.5000
Se1 0.0000 0.5000 0.0000
Se2 0.0000 0.0000 0.5000
Se3 0.5000 0.0000 0.0000
Al1 0.0000 0.0000 0.0000
```


Entry 7:
DFT (PBE-GGA) results for a relaxed structure of Cs2LaICl6.

## Properties
- Formation energy from raw total energies: -1.6260 eV per atom
- D(E_F): 0.0000 states/eV/atom
- SG: I4/mmm, No. 139
- Total moment: 2.00 μB/f.u.

CIF file:
```
data_Cs2LaICl6
_chemical_formula_sum 'Cs2 La1 I1 Cl6'
_cell_length_a 8.1777
_cell_length_b 8.1777
_cell_length_c 8.6665
_cell_angle_alpha 61.85
_cell_angle_beta 61.85
_cell_angle_gamma 90.00
_space_group_name_H-M_alt 'P 1'
_space_group_IT_number 1
loop_
_space_group_symop_operation_xyz
'x,y,z'
loop_
_atom_site_label
_atom_site_fract_x
_atom_site_fract_y
_atom_site_fract_z
Cs1 0.2500 0.7500 0.5000
Cs2 0.7500 0.2500 0.5000
Cl1 0.2403 0.7597 0.0000
Cl2 0.7867 0.7867 0.4266
Cl3 0.7597 0.7597 0.0000
Cl4 0.2133 0.2133 0.5734
Cl5 0.2403 0.2403 0.0000
Cl6 0.7597 0.2403 0.0000
La1 0.0000 0.0000 0.0000
I1 0.5000 0.5000 0.0000
```


Entry 8:
DFT (PBE-GGA) results for a relaxed structure of BaCdCuSn2.

## Properties
- Energy of formation: -7.614 kcal/mol of atoms
- D(E_F): 0.3187 states/eV/atom
- SG: I-4m2, No. 119
- Total moment: 0.00 μB/f.u.

CIF file:
```
data_BaCdCuSn2
_chemical_formula_sum 'Ba1 Cd1 Cu1 Sn2'
_cell_length_a 4.8135
_cell_length_b 4.8135
_cell_length_c 6.8250
_cell_angle_alpha 110.65
_cell_angle_beta 110.65
_cell_angle_gamma 90.00
_space_group_name_H-M_alt 'P 1'
_space_group_IT_number 1
loop_
_space_group_symop_operation_xyz
'x,y,z'
loop_
_atom_site_label
_atom_site_fract_x
_atom_site_fract_y
_atom_site_fract_z
Ba1 0.0000 0.0000 0.0000
Cu1 0.7500 0.2500 0.5000
Cd1 0.2500 0.7500 0.5000
Sn1 0.3758 0.3758 0.7517
Sn2 0.6242 0.6242 0.2483
```


Entry 9:
DFT (PBE-GGA) results for a relaxed structure of Mg2Sn2Bi.

## Properties
- Offset from the most stable computed form: 0.145 eV/atom
- Energy of formation: 1.611 kcal/mol of atoms
- D(E_F): 0.6516 states/eV/atom
- SG: I4/mmm, No. 139
- Total moment: 0.00 μB/f.u.

CIF file:
```
data_Mg2Sn2Bi
_chemical_formula_sum 'Mg2 Sn2 Bi1'
_cell_length_a 4.8150
_cell_length_b 4.8150
_cell_length_c 6.9188
_cell_angle_alpha 69.64
_cell_angle_beta 69.64
_cell_angle_gamma 90.00
_space_group_name_H-M_alt 'P 1'
_space_group_IT_number 1
loop_
_space_group_symop_operation_xyz
'x,y,z'
loop_
_atom_site_label
_atom_site_fract_x
_atom_site_fract_y
_atom_site_fract_z
Bi1 0.0000 0.0000 0.0000
Mg1 0.2500 0.7500 0.5000
Mg2 0.7500 0.2500 0.5000
Sn1 0.6142 0.6142 0.7716
Sn2 0.3858 0.3858 0.2284
```


Entry 10:
DFT (PBE-GGA) results for a relaxed structure of Pr2SmGa.

## Properties
- Offset from the most stable computed form: 0.003 eV/atom
- Energy of formation: -5.409 kcal/mol of atoms
- D(E_F): 1.0698 states/eV/atom
- SG: P4/mmm, No. 123
- Total moment: 0.00 μB/f.u.

CIF file:
```
data_Pr2SmGa
_chemical_formula_sum 'Pr2 Sm1 Ga1'
_cell_length_a 3.6444
_cell_length_b 3.6444
_cell_length_c 9.2047
_cell_angle_alpha 90.00
_cell_angle_beta 90.00
_cell_angle_gamma 90.00
_space_group_name_H-M_alt 'P 1'
_space_group_IT_number 1
loop_
_space_group_symop_operation_xyz
'x,y,z'
loop_
_atom_site_label
_atom_site_fract_x
_atom_site_fract_y
_atom_site_fract_z
Pr1 0.0000 0.0000 0.7899
Pr2 0.0000 0.0000 0.2101
Ga1 0.5000 0.5000 0.0000
Sm1 0.5000 0.5000 0.5000
```


Entry 11:
DFT (PBE-GGA) results for a relaxed structure of SmHoInAu.

## Properties
- Offset from the most stable computed form: 0.000 eV/atom
- Energy of formation: -15.273 kcal/mol of atoms
- D(E_F): 0.5789 states/eV/atom
- SG: P4mm, No. 99
- Total moment: 0.00 μB/f.u.

CIF file:
```
data_SmHoInAu
_chemical_formula_sum 'Sm1 Ho1 In1 Au1'
_cell_length_a 3.6329
_cell_length_b 3.6329
_cell_length_c 7.7689
_cell_angle_alpha 90.00
_cell_angle_beta 90.00
_cell_angle_gamma 90.00
_space_group_name_H-M_alt 'P 1'
_space_group_IT_number 1
loop_
_space_group_symop_operation_xyz
'x,y,z'
loop_
_atom_site_label
_atom_site_fract_x
_atom_site_fract_y
_atom_site_fract_z
Au1 0.0000 0.0000 0.3765
Ho1 0.5000 0.5000 0.5835
Sm1 0.5000 0.5000 0.1208
In1 0.0000 0.0000 0.8471
```


Entry 12:
DFT (PBE-GGA) results for a relaxed structure of Pm4Nd2Sm3.

## Properties
- Offset from the most stable computed form: 0.108 eV/atom
- Energy of formation: 3.860 kcal/mol of atoms
- D(E_F): 1.4600 states/eV/atom
- SG: P2_1/c, No. 14
- Total moment: 0.00 μB/f.u.

CIF file:
```
data_Pm4Nd2Sm3
_chemical_formula_sum 'Pm8 Nd4 Sm6'
_cell_length_a 8.8930
_cell_length_b 8.6843
_cell_length_c 8.7636
_cell_angle_alpha 90.00
_cell_angle_beta 90.00
_cell_angle_gamma 112.51
_space_group_name_H-M_alt 'P 1'
_space_group_IT_number 1
loop_
_space_group_symop_operation_xyz
'x,y,z'
loop_
_atom_site_label
_atom_site_fract_x
_atom_site_fract_y
_atom_site_fract_z
Pm1 0.8607 0.0760 0.5340
Pm2 0.1471 0.5262 0.8641
Pm3 0.3607 0.0760 0.9660
Pm4 0.1393 0.9240 0.4660
Pm5 0.8529 0.4738 0.1359
Pm6 0.6393 0.9240 0.0340
Pm7 0.6471 0.5262 0.6359
Pm8 0.3529 0.4738 0.3641
Nd1 0.4500 0.8243 0.6508
Nd2 0.5500 0.1757 0.3492
Nd3 0.0500 0.1757 0.1508
Nd4 0.9500 0.8243 0.8492
Sm1 0.7484 0.2489 0.8171
Sm2 0.0000 0.5000 0.5000
Sm3 0.2484 0.2489 0.6829
Sm4 0.2516 0.7511 0.1829
Sm5 0.5000 0.5000 0.0000
Sm6 0.7516 0.7511 0.3171
```